Entry 1:
This record from Alexandria via LeMat-Bulk describes a relaxed structure of SrCeAgSe4. The functional is PBE-GGA.

Structure (extended XYZ):
```
14
Lattice="7.5520 0.0000 -0.1881 0.0000 5.7965 0.0000 -3.1487 0.0000 8.5719" Properties=species:S:1:pos:R:3 pbc="T T T"
Se 6.3247 0.0873 2.2006
Se -1.9214 5.7092 6.1832
Se 6.3247 2.8110 2.2006
Se -1.9214 2.9855 6.1832
Se 1.4431 1.4491 7.4280
Se 2.9603 4.3474 0.9558
Se 1.4589 4.3474 5.0348
Se 2.9445 1.4491 3.3490
Ce 0.3109 1.4491 4.7443
Ce 4.0924 4.3474 3.6395
Ag 3.4901 1.4491 5.9282
Ag 0.9133 4.3474 2.4555
Sr 2.4463 4.3474 8.0138
Sr 1.9571 1.4491 0.3700
```

Computed properties:
* ΔE_f (raw): -1.267 eV/atom
* SG: P2_1/m

=====

Entry 2:
This record from Alexandria via LeMat-Bulk describes a relaxed structure of YSc2V2. The functional is PBE-GGA.

Structure (extended XYZ):
```
5
Lattice="-2.0815 -0.6932 -2.5802 2.4568 -1.7818 -1.5033 -2.9217 -9.5180 2.6913" Properties=species:S:1:pos:R:3 pbc="T T T"
V -2.4078 -5.7243 -0.9654
V -0.1386 -6.2686 -0.4269
Y 0.0000 0.0000 0.0000
Sc -0.6061 -3.3514 -0.8335
Sc -1.9403 -8.6416 -0.5588
```

Computed properties:
* DFT formation energy: 0.46 eV per atom
* excess energy over the best structure of this formula in the dataset: 98.3 kJ/mol of formula units
* SG: I4/mmm

=====

Entry 3:
This record from Alexandria via LeMat-Bulk describes a relaxed structure of AgSn2Sb2. The functional is PBE-GGA.

Structure (extended XYZ):
```
5
Lattice="-4.0291 1.2478 0.2100 -1.0612 -2.9504 -2.8291 -3.8465 -6.0471 4.5970" Properties=species:S:1:pos:R:3 pbc="T T T"
Sn -3.7264 -4.9244 0.2291
Sn -5.2104 -2.8253 1.7487
Ag 0.0000 0.0000 0.0000
Sb -6.1602 -5.9746 2.2372
Sb -2.7765 -1.7751 -0.2594
```

Computed properties:
* ΔE_f (raw): 0.289 eV/atom
* excess energy over the best structure of this formula in the dataset: 113.3 kJ/mol of formula units
* SG: I4/mmm

=====

Entry 4:
This record from Alexandria via LeMat-Bulk describes a relaxed structure of LiCaS. The functional is PBE-GGA.

Structure (extended XYZ):
```
3
Lattice="4.1691 0.0000 0.0000 0.0000 4.0252 0.0000 0.0000 -2.0126 3.4859" Properties=species:S:1:pos:R:3 pbc="T T T"
Li 0.6942 0.0000 2.3240
Ca 2.7790 2.0126 1.1620
S 0.6959 0.0000 0.0000
```

Computed properties:
* ΔE_f (raw): -1.176 eV/atom
* excess energy over the best structure of this formula in the dataset: 10.4 kJ/mol of formula units
* SG: P-6m2

=====

Entry 5:
This record from Alexandria via LeMat-Bulk describes a relaxed structure of CdHg2P. The functional is PBE-GGA.

Structure (extended XYZ):
```
4
Lattice="7.1049 0.0124 0.0076 5.9423 3.8948 0.0076 5.9423 1.7795 3.4645" Properties=species:S:1:pos:R:3 pbc="T T T"
Cd 4.7474 1.4217 0.8699
Hg 0.2507 0.0751 0.0459
Hg 9.2441 2.7683 1.6939
P 14.2421 4.2650 2.6097
```

Computed properties:
* DFT formation energy: 0.24 eV per atom
* excess energy over the best structure of this formula in the dataset: 61.5 kJ/mol of formula units
* SG: R-3m

=====

Entry 6:
This record from Alexandria via LeMat-Bulk describes a relaxed structure of Ac2TbDy3Y6. The functional is PBE-GGA.

Structure (extended XYZ):
```
12
Lattice="-1.7489 3.7777 4.7515 -2.9290 -5.5273 -0.8806 9.3568 -4.6757 5.7642" Properties=species:S:1:pos:R:3 pbc="T T T"
Ac -2.5356 -2.4252 0.9970
Ac -2.1423 0.6755 2.8738
Dy 2.3394 -3.2127 4.8176
Dy 1.9458 -6.3161 2.9391
Dy 2.7331 -0.1093 6.6960
Y -1.1258 -2.5230 4.4043
Y 3.2523 -6.3228 6.2504
Y 3.6426 -3.2456 8.1130
Y 5.8047 -3.9023 5.2308
Y 1.4266 -0.1026 3.3847
Y 1.0363 -3.1798 1.5222
Tb 0.0000 0.0000 0.0000
```

Computed properties:
* DFT formation energy: 0.04 eV per atom
* SG: C2/m

=====

Entry 7:
This record from Alexandria via LeMat-Bulk describes a relaxed structure of Y2TaAlMo. The functional is PBE-GGA.

Structure (extended XYZ):
```
5
Lattice="-3.1125 -2.2465 3.6730 -0.8507 -3.5180 -2.8725 4.1930 -2.6111 1.9560" Properties=species:S:1:pos:R:3 pbc="T T T"
Al 0.0000 0.0000 0.0000
Mo -0.4254 -1.7590 -1.4363
Y -1.5562 -1.1232 1.8365
Y 2.0965 -1.3056 0.9780
Ta 0.1149 -4.1878 1.3783
```

Computed properties:
* DFT formation energy: 1.17 eV per atom
* SG: P4/mmm

=====

Entry 8:
This record from Alexandria via LeMat-Bulk describes a relaxed structure of Nd4NiTe3. The functional is PBE-GGA.

Structure (extended XYZ):
```
8
Lattice="4.2878 0.0000 0.0000 0.0000 7.3629 -2.4481 0.0000 -0.0019 7.7592" Properties=species:S:1:pos:R:3 pbc="T T T"
Te 2.1439 3.6805 2.6556
Te 0.0000 -0.0009 3.8796
Te 0.0000 3.6815 -1.2240
Nd 0.0000 1.5699 1.1327
Nd 2.1439 1.7587 5.3191
Nd 2.1439 5.6023 -0.0080
Nd 0.0000 5.7911 4.1784
Ni 2.1439 0.0000 0.0000
```

Computed properties:
* ΔE_f (raw): -1.107 eV/atom
* SG: Cmmm

=====

Entry 9:
This record from Alexandria via LeMat-Bulk describes a relaxed structure of Mg2PBr. The functional is PBE-GGA.

Structure (extended XYZ):
```
8
Lattice="-3.0602 3.1659 -4.0792 -4.7259 -3.6277 0.7299 -6.0311 3.4521 2.7878" Properties=species:S:1:pos:R:3 pbc="T T T"
Br -6.4922 3.1935 -1.4830
Br 0.0000 0.0000 0.0000
Mg -11.0755 2.3850 -0.8801
Mg -3.8424 2.2136 -1.5364
Mg -5.0127 -0.8340 0.4183
Mg -7.7037 2.2158 0.8751
P -3.8930 -0.2309 -1.6747
P -7.3250 -0.2033 0.9215
```

Computed properties:
* ΔE_f (raw): -0.822 eV/atom
* excess energy over the best structure of this formula in the dataset: 28.4 kJ/mol of formula units
* SG: I-42d

=====

Entry 10:
This record from Alexandria via LeMat-Bulk describes a relaxed structure of Pm3YCo. The functional is PBE-GGA.

Structure (extended XYZ):
```
10
Lattice="7.6090 0.9206 3.2833 3.1861 6.4104 1.5041 1.4866 0.2995 7.1559" Properties=species:S:1:pos:R:3 pbc="T T T"
Pm 3.0405 0.6980 4.2717
Pm 8.5484 4.4415 9.9754
Pm 7.8599 3.7431 6.4105
Pm 9.2411 6.9325 7.6716
Pm 3.7332 3.1890 1.9679
Pm 4.4217 3.8874 5.5328
Y 1.4093 0.4523 0.9128
Y 10.8723 7.1782 11.0304
Co 6.2920 5.3691 7.6971
Co 5.9896 2.2615 4.2462
```

Computed properties:
* DFT formation energy: -0.07 eV per atom
* excess energy over the best structure of this formula in the dataset: 0.0 kJ/mol of formula units
* SG: C2/m

=====

Entry 11:
This record from Alexandria via LeMat-Bulk describes a relaxed structure of KCoCuBr5. The functional is PBE-GGA.

Structure (extended XYZ):
```
16
Lattice="-5.7983 3.1562 -4.0637 4.7455 -2.3202 -5.6738 -3.7116 -7.8260 2.3132" Properties=species:S:1:pos:R:3 pbc="T T T"
Br -5.1928 -0.9265 -2.2510
Br -1.5683 0.3045 -3.0492
Br -3.1962 -7.2946 -4.3751
Br -3.2904 -2.3687 -5.2340
Br -1.4740 -4.6213 -2.1904
Br 2.9853 -3.8445 -4.9685
Br 0.4284 -6.0636 -5.1733
Br -0.2930 -8.3484 -2.1260
Br -4.4714 1.3584 -5.2983
Br -7.7498 -3.1456 -2.4559
Cu -1.8558 -3.9130 1.1566
Cu 0.0000 0.0000 0.0000
Co -1.1498 -6.5737 -3.4638
Co -3.6147 -0.4164 -3.9606
K 0.0236 -2.3061 -4.5162
K -4.7880 -4.6839 -2.9082
```

Computed properties:
* ΔE_f (raw): -0.652 eV/atom
* SG: C2/c

=====

Entry 12:
This record from Alexandria via LeMat-Bulk describes a relaxed structure of Er4TlGa3. The functional is PBE-GGA.

Structure (extended XYZ):
```
8
Lattice="-2.5412 3.5428 -0.4091 -2.0000 -1.0395 3.4220 7.1353 5.8032 5.9331" Properties=species:S:1:pos:R:3 pbc="T T T"
Ga 3.0269 2.4618 2.5169
Ga 3.1181 2.8295 5.1353
Ga 5.2110 7.0429 5.1850
Tl -1.6749 1.7361 2.0018
Er 0.3742 3.4027 3.7057
Er 3.2709 5.4650 3.5718
Er 5.0975 4.4394 6.7811
Er 1.0351 0.8419 0.8607
```

Computed properties:
* DFT formation energy: -0.52 eV per atom
* SG: Pmm2

=====

Number 1: calculated volume 26.56 Å³ per atom, M_tot 0.27 μB/f.u.. Number 2: calculated volume 23.01 Å³ per atom, M_tot 2.07 μB/f.u.. Number 3: calculated volume 28.44 Å³ per atom, M_tot 0.00 μB/f.u.. Number 4: calculated volume 19.50 Å³ per atom, M_tot 0.83 μB/f.u.. Number 5: calculated volume 23.86 Å³ per atom, M_tot 0.00 μB/f.u.. Number 6: calculated volume 33.87 Å³ per atom, M_tot 0.00 μB/f.u.. Number 7: calculated volume 26.08 Å³ per atom, M_tot 1.61 μB/f.u.. Number 8: calculated volume 30.62 Å³ per atom, M_tot 0.00 μB/f.u.. Number 9: calculated volume 27.78 Å³ per atom, M_tot 0.00 μB/f.u.. Number 10: calculated volume 29.85 Å³ per atom, M_tot 0.00 μB/f.u.. Number 11: calculated volume 31.65 Å³ per atom, M_tot 3.94 μB/f.u.. Number 12: calculated volume 24.55 Å³ per atom, M_tot 0.00 μB/f.u..